Entry from the Alexandria database: an optimized crystal structure of HgRuSe2 (PBE).

Summary:
M_tot = 0.6 μB per formula unit
symmetry = C2/m
crystal system = monoclinic
formation energy from raw total energies = 531 meV per atom

a = 4.759 Å, b = 4.759 Å, c = 4.770 Å
α = 68.28°, β = 68.28°, γ = 105.22°
Site moments in Bohr magnetons follow the coordinates.
Element x y z (fractional)
Hg1 0.500 0.000 0.500  0.00
Ru1 0.000 0.500 0.500  0.55
Se1 0.000 0.000 0.000  0.01
Se2 0.500 0.500 0.000  0.01


Entry from the Alexandria database: an optimized crystal structure of BaCaCr2As (PBE).

Summary:
M_tot = 8.9 μB per formula unit
symmetry = P4/mmm
energy of formation = 0.467 eV/atom
relative energy among the computed polymorphs = 0.00 eV per formula unit
crystal system = tetragonal

a = 5.091 Å, b = 5.091 Å, c = 6.159 Å
α = 90.00°, β = 90.00°, γ = 90.00°
Site moments in Bohr magnetons follow the coordinates.
Element x y z (fractional)
Cr1 0.000 0.500 0.000  3.83
Cr2 0.500 0.000 0.000  3.83
As1 0.000 0.000 0.000  -0.14
Ca1 0.500 0.500 0.500  0.01
Ba1 0.000 0.000 0.500  0.02